Entry 1:
## Ca2CdHg (PBE)

Data for a relaxed Ca2CdHg crystal.

Values from the calculation:
- ΔH_f (0 K) (eV per atom) = -0.175
- polymorph energy (0 for the lowest one) (eV per atom) = 0.279

```
Ca2CdHg
1.0
1.993 1.151 9.523
-1.993 1.151 9.523
0.000 -2.302 9.523
Ca Cd Hg
2 1 1
Direct
0.000 0.000 0.000 Ca
0.220 0.220 0.220 Ca
0.474 0.474 0.474 Cd
0.741 0.741 0.741 Hg
```

---

Entry 2:
## Li2Ga6Sn (PBE)

Data for a relaxed Li2Ga6Sn crystal.

Values from the calculation:
- ΔH_f (0 K) (eV per atom) = -0.099
- polymorph energy (0 for the lowest one) (eV per atom) = 0.019

```
Li2Ga6Sn
1.0
6.324 -4.874 0.000
6.324 4.874 0.000
-0.662 0.000 2.922
Li Ga Sn
2 6 1
Direct
0.000 0.000 0.000 Li
0.658 0.658 0.682 Li
0.278 0.711 0.512 Ga
0.380 0.948 0.174 Ga
0.699 0.960 0.341 Ga
0.711 0.278 0.512 Ga
0.948 0.380 0.174 Ga
0.960 0.699 0.341 Ga
0.329 0.329 0.338 Sn
```

---

Entry 3:
## TbSi2Ni5Pt (PBE)

Data for a relaxed TbSi2Ni5Pt crystal.

Values from the calculation:
- formation energy (no corrections) (eV per atom) = -0.290

```
TbSi2Ni5Pt
1.0
3.735 0.000 0.000
0.000 3.735 0.000
0.000 0.000 8.844
Tb Si Ni Pt
1 2 5 1
Direct
0.000 0.000 0.000 Tb
0.500 0.500 0.372 Si
0.500 0.500 0.628 Si
0.000 0.500 0.233 Ni
0.000 0.500 0.767 Ni
0.500 0.000 0.233 Ni
0.500 0.000 0.767 Ni
0.500 0.500 0.000 Ni
0.000 0.000 0.500 Pt
```

---

Entry 4:
## ZnBOs3 (PBE)

Data for a relaxed ZnBOs3 crystal.

Values from the calculation:
- ΔH_f (0 K) (eV per atom) = 0.455
- polymorph energy (0 for the lowest one) (eV per atom) = 0.000

```
ZnBOs3
1.0
4.090 0.000 0.000
0.000 4.090 0.000
0.000 0.000 4.090
Zn B Os
1 1 3
Direct
0.000 0.000 0.000 Zn
0.500 0.500 0.500 B
0.000 0.500 0.500 Os
0.500 0.000 0.500 Os
0.500 0.500 0.000 Os
```

---

Entry 5:
## SrY2W (PBE)

Data for a relaxed SrY2W crystal.

Values from the calculation:
- ΔH_f (0 K) (eV per atom) = 0.814
- polymorph energy (0 for the lowest one) (eV per atom) = 0.380

```
SrY2W
1.0
4.925 0.000 0.000
0.000 4.925 0.000
0.000 0.000 4.531
Sr Y W
1 2 1
Direct
0.000 0.000 0.000 Sr
0.000 0.500 0.500 Y
0.500 0.000 0.500 Y
0.500 0.500 0.000 W
```

---

Entry 6:
## TbPr12Dy3 (PBE)

Data for a relaxed TbPr12Dy3 crystal.

Values from the calculation:
- ΔH_f (0 K) (eV per atom) = 0.012

```
TbPr12Dy3
1.0
5.195 0.000 0.000
0.000 5.195 0.000
0.000 0.000 20.721
Tb Pr Dy
1 12 3
Direct
0.000 0.000 0.000 Tb
0.000 0.500 0.125 Pr
0.000 0.500 0.375 Pr
0.000 0.500 0.625 Pr
0.000 0.500 0.875 Pr
0.500 0.000 0.125 Pr
0.500 0.000 0.375 Pr
0.500 0.000 0.625 Pr
0.500 0.000 0.875 Pr
0.500 0.500 0.000 Pr
0.500 0.500 0.250 Pr
0.500 0.500 0.500 Pr
0.500 0.500 0.750 Pr
0.000 0.000 0.250 Dy
0.000 0.000 0.500 Dy
0.000 0.000 0.750 Dy
```

---

Entry 7:
## Hg4W5 (PBE)

Data for a relaxed Hg4W5 crystal.

Values from the calculation:
- ΔH_f (0 K) (eV per atom) = 1.095
- polymorph energy (0 for the lowest one) (eV per atom) = 0.358

```
Hg4W5
1.0
8.166 0.000 0.000
-4.083 7.072 0.000
0.000 0.000 5.579
Hg W
8 10
Direct
0.000 0.000 0.000 Hg
0.000 0.000 0.500 Hg
0.000 0.364 0.250 Hg
0.000 0.636 0.750 Hg
0.364 0.000 0.250 Hg
0.364 0.364 0.750 Hg
0.636 0.000 0.750 Hg
0.636 0.636 0.250 Hg
0.000 0.308 0.750 W
0.000 0.692 0.250 W
0.308 0.000 0.750 W
0.308 0.308 0.250 W
0.333 0.667 0.000 W
0.333 0.667 0.500 W
0.667 0.333 0.000 W
0.667 0.333 0.500 W
0.692 0.000 0.250 W
0.692 0.692 0.750 W
```

---

Entry 8:
## Co2CuNi7 (PBE)

Data for a relaxed Co2CuNi7 crystal.

Values from the calculation:
- ΔH_f (0 K) (eV per atom) = 0.631

```
Co2CuNi7
1.0
3.169 -5.961 0.000
3.169 5.961 0.000
0.000 0.000 3.696
Co Cu Ni
2 1 7
Direct
0.199 0.801 0.000 Co
0.801 0.199 0.000 Co
0.500 0.500 0.500 Cu
0.000 0.000 0.000 Ni
0.208 0.418 0.000 Ni
0.303 0.697 0.500 Ni
0.418 0.208 0.000 Ni
0.582 0.792 0.000 Ni
0.697 0.303 0.500 Ni
0.792 0.582 0.000 Ni
```

---

Entry 9:
## Ti2HSI (PBE)

Data for a relaxed Ti2HSI crystal.

```
Ti2HSI
1.0
5.170 0.000 0.000
0.000 5.170 0.000
0.000 0.000 3.766
Ti H S I
2 1 1 1
Direct
0.000 0.500 0.000 Ti
0.500 0.000 0.000 Ti
0.000 0.000 0.500 H
0.500 0.500 0.500 S
0.000 0.000 0.000 I
```

---

Entry 10:
## ZnInSnHg2 (PBE)

Data for a relaxed ZnInSnHg2 crystal.

Values from the calculation:
- ΔH_f (0 K) (eV per atom) = 0.453

```
ZnInSnHg2
1.0
5.601 0.000 0.000
0.000 5.601 0.000
0.000 0.000 5.764
Zn In Sn Hg
1 1 1 2
Direct
0.000 0.000 0.000 Zn
0.500 0.500 0.500 In
0.500 0.500 0.000 Sn
0.000 0.500 0.500 Hg
0.500 0.000 0.500 Hg
```

---

Entry 11:
## ScRe3Cl (PBE)

Data for a relaxed ScRe3Cl crystal.

Values from the calculation:
- formation energy (no corrections) (eV per atom) = 2.919
- polymorph energy (0 for the lowest one) (eV per atom) = 1.685

```
ScRe3Cl
1.0
4.788 0.000 0.000
0.000 4.788 0.000
0.000 0.000 4.788
Sc Re Cl
1 3 1
Direct
0.000 0.000 0.000 Sc
0.000 0.000 0.500 Re
0.000 0.500 0.000 Re
0.500 0.000 0.000 Re
0.500 0.500 0.500 Cl
```

---

Entry 12:
## Tl2ZnTe (PBE)

Data for a relaxed Tl2ZnTe crystal.

Values from the calculation:
- formation energy (no corrections) (eV per atom) = -0.056
- polymorph energy (0 for the lowest one) (eV per atom) = 0.029

```
Tl2ZnTe
1.0
4.311 -2.489 0.000
4.311 2.489 0.000
-2.895 0.000 5.883
Tl Zn Te
2 1 1
Direct
0.242 0.242 0.225 Tl
0.758 0.758 0.775 Tl
0.500 0.500 0.000 Zn
0.000 0.000 0.500 Te
```

---

Entry 13:
## KTcSe2 (PBE)

Data for a relaxed KTcSe2 crystal.

Values from the calculation:
- formation energy (no corrections) (eV per atom) = -0.131
- polymorph energy (0 for the lowest one) (eV per atom) = 0.361

```
KTcSe2
1.0
3.407 0.000 0.000
0.000 3.407 0.000
0.000 0.000 8.493
K Tc Se
1 1 2
Direct
0.000 0.000 0.000 K
0.500 0.500 0.522 Tc
0.000 0.000 0.628 Se
0.500 0.500 0.243 Se
```

---

Entry 14:
## ZrCu2Hg (PBE)

Data for a relaxed ZrCu2Hg crystal.

Values from the calculation:
- ΔH_f (0 K) (eV per atom) = -0.016

```
ZrCu2Hg
1.0
3.176 0.000 0.000
0.000 3.176 0.000
0.000 0.000 6.754
Zr Cu Hg
1 2 1
Direct
0.000 0.000 0.000 Zr
0.000 0.000 0.430 Cu
0.500 0.500 0.253 Cu
0.500 0.500 0.681 Hg
```

---

Entry 15:
## ZrHRhO2 (PBE)

Data for a relaxed ZrHRhO2 crystal.

```
ZrHRhO2
1.0
4.131 0.000 0.000
0.000 4.131 0.000
0.000 0.000 3.840
Zr H Rh O
1 1 1 2
Direct
0.000 0.000 0.000 Zr
0.000 0.000 0.500 H
0.500 0.500 0.500 Rh
0.000 0.500 0.000 O
0.500 0.000 0.000 O
```

---

Entry 16:
## Lu2CdHg (PBE)

Data for a relaxed Lu2CdHg crystal.

Values from the calculation:
- ΔH_f (0 K) (eV per atom) = -0.379
- polymorph energy (0 for the lowest one) (eV per atom) = 0.004

```
Lu2CdHg
1.0
0.000 3.654 3.654
3.654 0.000 3.654
3.654 3.654 0.000
Lu Cd Hg
2 1 1
Direct
0.250 0.250 0.250 Lu
0.750 0.750 0.750 Lu
0.000 0.000 0.000 Cd
0.500 0.500 0.500 Hg
```

---

Entry 17:
## CsNbBr6 (PBE)

Data for a relaxed CsNbBr6 crystal.

Values from the calculation:
- formation energy (no corrections) (eV per atom) = -1.102
- polymorph energy (0 for the lowest one) (eV per atom) = 0.018

```
CsNbBr6
1.0
3.727 2.152 6.756
-3.727 2.152 6.756
0.000 -4.303 6.756
Cs Nb Br
1 1 6
Direct
0.000 0.000 0.000 Cs
0.500 0.500 0.500 Nb
0.105 0.589 0.589 Br
0.411 0.411 0.895 Br
0.411 0.895 0.411 Br
0.589 0.105 0.589 Br
0.589 0.589 0.105 Br
0.895 0.411 0.411 Br
```

---

Entry 18:
## KP2Au (PBE)

Data for a relaxed KP2Au crystal.

Values from the calculation:
- ΔH_f (0 K) (eV per atom) = 0.561
- polymorph energy (0 for the lowest one) (eV per atom) = 0.884

```
KP2Au
1.0
0.000 3.418 3.418
3.418 0.000 3.418
3.418 3.418 0.000
K P Au
1 2 1
Direct
0.000 0.000 0.000 K
0.250 0.250 0.250 P
0.750 0.750 0.750 P
0.500 0.500 0.500 Au
```

---

Entry 19:
## MnVB (PBE)

Data for a relaxed MnVB crystal.

Values from the calculation:
- ΔH_f (0 K) (eV per atom) = 0.149
- polymorph energy (0 for the lowest one) (eV per atom) = 0.641

```
MnVB
1.0
6.348 -1.222 0.000
6.348 1.222 0.000
-1.320 0.000 4.091
Mn V B
2 2 2
Direct
0.243 0.243 0.239 Mn
0.757 0.757 0.761 Mn
0.435 0.435 0.188 V
0.565 0.565 0.812 V
0.381 0.381 0.642 B
0.619 0.619 0.358 B
```

---

Entry 20:
## RbGeAu (PBE)

Data for a relaxed RbGeAu crystal.

Values from the calculation:
- ΔH_f (0 K) (eV per atom) = -0.234
- polymorph energy (0 for the lowest one) (eV per atom) = 0.000

```
RbGeAu
1.0
7.060 0.000 0.000
0.000 5.445 0.000
0.000 0.000 9.084
Rb Ge Au
4 4 4
Direct
0.001 0.250 0.134 Rb
0.499 0.750 0.634 Rb
0.501 0.250 0.366 Rb
0.999 0.750 0.866 Rb
0.000 0.250 0.545 Ge
0.000 0.750 0.455 Ge
0.500 0.250 0.955 Ge
0.500 0.750 0.045 Ge
0.250 0.250 0.750 Au
0.250 0.750 0.250 Au
0.750 0.250 0.750 Au
0.750 0.750 0.250 Au
```

---

no.,E_tot (eV/atom),magnetic moment (μB per formula unit)
1,-1.4801,0.00
2,-2.9865,0.00
3,-5.8930,0.00
4,-7.8731,0.90
5,-6.0766,0.00
6,-4.7245,0.00
7,-6.2352,0.00
8,-5.2463,8.10
9,-4.2674,3.98
10,-1.2703,0.00
11,-6.1850,4.82
12,-2.3426,0.00
13,-4.7395,0.00
14,-4.2763,0.00
15,-6.7569,2.00
16,-2.9440,0.00
17,-3.7222,0.00
18,-3.2373,0.00
19,-8.1729,0.84
20,-3.1880,0.00